PBE SmMnH5, relaxed; electronic total energy = -64.9 eV per cell; symmetry = Immm
1.0
4.2956 0.6079 1.2375
1.0521 4.2088 1.2375
0.9684 0.8722 7.2922
H Mn Sm
10 2 2
Direct
0.4184 0.9095 0.4182
0.5816 0.0905 0.5818
0.9999 0.0001 0.7500
0.5818 0.0892 0.0823
0.0001 0.9999 0.2500
0.0892 0.5818 0.5823
0.9108 0.4182 0.4177
0.0905 0.5816 0.0818
0.9095 0.4184 0.9182
0.4182 0.9108 0.9177
0.0000 0.0000 0.5000
0.0000 0.0000 0.0000
0.5001 0.4999 0.2500
0.4999 0.5001 0.7500

***

PBE YMn2Os, relaxed; distance to the lowest polymorph of the same formula = 1.019 eV/f.u.; symmetry = I-4m2; ΔH_f (0 K) = 0.4059 eV per atom
1.0
-3.1322 0.7202 -3.3157
-2.4512 -3.5651 1.6139
1.1502 3.4526 2.8425
Mn Os Y
2 1 1
Direct
0.2500 0.7500 0.5000
0.0000 0.0000 0.0000
0.5000 0.5000 0.0000
0.7500 0.2500 0.5000